This record from the Alexandria database describes a relaxed structure of ScTi2Pd. The functional is GGA-PBE.

Output
* DFT total energy: -6.917 eV/atom
* offset from the most stable computed form: 0.000 eV/atom

abc: 4.5973 4.5973 4.5973
angles: 60.00 60.00 60.00
Last column: nearest neighbours and their distance in Å.
Element x y z (fractional)
Sc 0.0000 0.0000 0.0000  8 Ti 2.82
Ti 0.2500 0.2500 0.2500  4 Pd 2.82, 4 Sc 2.82
Pd 0.5000 0.5000 0.5000  8 Ti 2.82
Ti 0.7500 0.7500 0.7500  4 Sc 2.82, 4 Pd 2.82

This record from the Alexandria database describes a relaxed structure of Ce2Zn3Pt. The functional is GGA-PBE.

Output
* DFT total energy: -4.181 eV/atom

abc: 5.6676 5.6676 9.1496
angles: 113.65 113.65 72.84
Last column: nearest neighbours and their distance in Å.
Element x y z (fractional)
Ce 0.2500 0.7500 0.5000  4 Pt 3.11, 8 Zn 3.15, 2 Ce 3.36
Ce 0.7500 0.2500 0.5000  4 Pt 3.11, 8 Zn 3.15, 2 Ce 3.36
Zn 0.3257 0.3257 0.1645  2 Zn 2.56-2.61, 1 Pt 2.71
Pt 0.3310 0.3310 0.6620  3 Zn 2.66-2.71
Zn 0.1630 0.1630 0.3261  2 Zn 2.56, 1 Pt 2.66
Ce 0.2769 0.7231 0.0000  1 Ce 3.00, 10 Zn 3.07-3.19, 2 Pt 3.07
Zn 0.6743 0.6743 0.8355  2 Zn 2.56-2.61, 1 Pt 2.71
Zn 0.1612 0.1612 0.8355  2 Zn 2.56-2.61, 1 Pt 2.71
Zn 0.8388 0.8388 0.1645  2 Zn 2.56-2.61, 1 Pt 2.71
Ce 0.7231 0.2769 0.0000  1 Ce 3.00, 10 Zn 3.07-3.19, 2 Pt 3.07
Pt 0.6690 0.6690 0.3380  3 Zn 2.66-2.71
Zn 0.8370 0.8370 0.6739  2 Zn 2.56, 1 Pt 2.66

This record from the Alexandria database describes a relaxed structure of Er3Ni2Hg. The functional is GGA-PBE.

Output
* DFT total energy: -4.679 eV/atom

abc: 4.0539 7.1496 9.1306
angles: 90.00 90.00 90.00
Last column: nearest neighbours and their distance in Å.
Element x y z (fractional)
Er 0.0000 0.3285 0.4393  6 Ni 2.74-2.89
Ni 0.5000 0.5499 0.5567  2 Ni 2.55, 5 Er 2.79-2.84
Hg 0.0000 0.9650 0.9574  1 Ni 2.98, 6 Er 3.06-3.30
Ni 0.5000 0.0499 0.4433  2 Ni 2.55, 5 Er 2.79-2.84
Er 0.5000 0.2067 0.7445  4 Ni 2.81-2.99
Ni 0.0000 0.9758 0.2838  2 Ni 2.55, 5 Er 2.74-2.81
Hg 0.0000 0.4650 0.0426  1 Ni 2.98, 6 Er 3.06-3.30
Er 0.5000 0.6754 0.8488  3 Ni 2.76-2.81, 4 Hg 3.06-3.08
Er 0.5000 0.1754 0.1512  3 Ni 2.76-2.81, 4 Hg 3.06-3.08
Ni 0.0000 0.4758 0.7162  2 Ni 2.55, 5 Er 2.74-2.81
Er 0.5000 0.7067 0.2555  4 Ni 2.81-2.99
Er 0.0000 0.8285 0.5607  6 Ni 2.74-2.89

This record from the Alexandria database describes a relaxed structure of Rb2YInI6. The functional is GGA-PBE.

Output
* DFT total energy: -3.301 eV/atom
* raw formation energy: -1.2570 eV per atom

abc: 8.8631 8.8626 8.9760
angles: 60.41 60.40 59.99
Last column: nearest neighbours and their distance in Å.
Element x y z (fractional)
I 0.6527 0.1049 0.7844  1 Y 3.07, 1 In 3.42
Y 0.3225 0.3226 0.0323  6 I 3.04-3.07
I 0.4580 0.6527 0.7843  1 Y 3.07, 1 In 3.42
I 0.5581 0.1822 0.2620  1 Y 3.05
Rb 0.0297 0.0297 0.9110  6 I 3.70-3.84
In 0.8174 0.8174 0.5479  6 I 3.42-3.54
I 0.1049 0.4580 0.7844  1 Y 3.07, 1 In 3.42
I 0.9977 0.5582 0.2619  1 Y 3.04
Rb 0.5384 0.5382 0.3851  6 I 3.73-3.84
I 0.1822 0.9978 0.2619  1 Y 3.05

This record from the Alexandria database describes a relaxed structure of NiMo2Br. The functional is GGA-PBE.

Output
* DFT total energy: -6.925 eV/atom
* offset from the most stable computed form: 0.000 eV/atom
* raw formation energy: 0.3543 eV per atom

abc: 3.1432 3.2506 7.5937
angles: 67.31 90.00 90.00
Last column: nearest neighbours and their distance in Å.
Element x y z (fractional)
Mo 0.5000 0.3150 0.2561  2 Mo 2.50, 4 Ni 2.60-2.66
Mo 0.0000 0.0795 0.0567  2 Mo 2.50, 2 Br 2.74, 1 Ni 2.76
Ni 0.0000 0.6562 0.4489  2 Br 2.57, 5 Mo 2.60-2.76
Br 0.5000 0.4493 0.7384  2 Ni 2.57, 2 Mo 2.74

This record from the Alexandria database describes a relaxed structure of AgTe3H. The functional is GGA-PBE.

Output
* DFT total energy: -2.182 eV/atom
* offset from the most stable computed form: 0.323 eV/atom

abc: 5.4775 5.4775 5.4775
angles: 90.00 90.00 90.00
Last column: nearest neighbours and their distance in Å.
Element x y z (fractional)
Ag 0.0000 0.0000 0.0000  6 Te 2.74
Te 0.0000 0.0000 0.5000  2 Ag 2.74
Te 0.5000 0.0000 0.0000  2 Ag 2.74
Te 0.0000 0.5000 0.0000  2 Ag 2.74
H 0.5000 0.5000 0.5000  12 Te 3.87